Record 1
Material: K2Cd3Pt2
Method: DFT, GGA-PBE
State: relaxed

a = 4.7112 Å, b = 6.5374 Å, c = 7.8660 Å
α = 119.12°, β = 90.00°, γ = 111.12°
Last column: nearest neighbours and their distance in Å.
Fractional positions:
K 0.8542 0.7085 0.2223  2 Pt 3.24-3.54, 1 Cd 3.51
K 0.1458 0.2915 0.7777  2 Pt 3.24-3.54, 1 Cd 3.51
Cd 0.5000 0.0000 0.0000  4 Pt 2.76, 2 Cd 2.92
Cd 0.6627 0.3254 0.4345  3 Pt 2.77-2.87, 3 Cd 2.92-2.98
Cd 0.3373 0.6746 0.5655  3 Pt 2.77-2.87, 3 Cd 2.92-2.98
Pt 0.8889 0.7778 0.8032  5 Cd 2.76-2.87, 1 Pt 2.86
Pt 0.1111 0.2222 0.1968  5 Cd 2.76-2.87, 1 Pt 2.86

- ρ: 6.9 Mg/m³
- ΔE_f: -1.7 eV/f.u.
- SG: C2/m
- Electronic total energy: -2.681 eV per atom

---

Record 2
Material: Mg2MnAg2
Method: DFT, GGA-PBE
State: relaxed

a = 7.3988 Å, b = 7.3988 Å, c = 3.5012 Å
α = 90.00°, β = 90.00°, γ = 90.00°
Last column: nearest neighbours and their distance in Å.
Fractional positions:
Mg 0.1632 0.6632 0.5000  6 Ag 2.72-2.84
Mg 0.6632 0.8368 0.5000  6 Ag 2.72-2.84
Mg 0.8368 0.3368 0.5000  6 Ag 2.72-2.84
Mg 0.3368 0.1632 0.5000  6 Ag 2.72-2.84
Mn 0.0000 0.0000 0.0000  4 Ag 2.87
Mn 0.5000 0.5000 0.0000  4 Ag 2.87
Ag 0.3625 0.8625 0.0000  6 Mg 2.72-2.84, 2 Mn 2.87, 1 Ag 2.88
Ag 0.8625 0.6375 0.0000  6 Mg 2.72-2.84, 2 Mn 2.87, 1 Ag 2.88
Ag 0.6375 0.1375 0.0000  6 Mg 2.72-2.84, 2 Mn 2.87, 1 Ag 2.88
Ag 0.1375 0.3625 0.0000  6 Mg 2.72-2.84, 2 Mn 2.87, 1 Ag 2.88

- ρ: 5.5 Mg/m³
- ΔE_f: 0.4 eV/f.u.
- SG: P4/mbm
- Electronic total energy: -3.526 eV per atom

---

Question: The highest ρ belongs to which entry?
Answer: K2Cd3Pt2

---

Question: ρ of number 1 (K2Cd3Pt2)?
Answer: 6.9 Mg/m³